Record 1
A relaxed structure of Ca2SmCd4, computed with PBE-GGA.

Calculated values
The calculated formation energy comes out at -0.184 eV/atom. As for the crystal system: tetragonal. The space-group type is I4/mmm, No. 139. As for the total magnetization: 0.0 μB per cell.

a b c (Å): 5.551 5.551 7.847
angles (deg): 110.71 110.71 90.00
Atoms (fractional coordinates):
Ca1 0.736 0.736 0.471
Ca2 0.264 0.264 0.529
Sm1 0.000 0.000 0.000
Cd1 0.384 0.884 0.769
Cd2 0.884 0.384 0.769
Cd3 0.616 0.116 0.231
Cd4 0.116 0.616 0.231

***

Record 2
A relaxed structure of CsSiAgH6, computed with PBE-GGA.

Calculated values
As for the crystal system: trigonal. The space-group type is P312, No. 149. As for the total magnetization: 0.0 μB per cell. Its total energy is -28.4 eV/cell.

a b c (Å): 5.036 5.036 6.062
angles (deg): 90.01 89.99 59.98
Atoms (fractional coordinates):
Cs1 0.000 0.000 0.000
Si1 0.333 0.333 0.500
Ag1 0.667 0.667 0.500
H1 0.067 0.339 0.345
H2 0.339 0.067 0.655
H3 0.594 0.339 0.655
H4 0.067 0.594 0.655
H5 0.339 0.594 0.345
H6 0.594 0.067 0.345